DFT (GGA-PBE) results for crystalline BeCu at its relaxed geometry.

abc: 4.4588 4.4588 4.4203
angles: 90.00 90.00 90.00
Last column: nearest neighbours and their distance in Å.
Sites, in units of the cell vectors:
Be 0.1780 0.1780 0.0000  6 Cu 2.21-2.36, 1 Be 2.24
Be 0.3220 0.6780 0.5000  6 Cu 2.21-2.36, 1 Be 2.24
Be 0.6780 0.3220 0.5000  6 Cu 2.21-2.36, 1 Be 2.24
Be 0.8220 0.8220 0.0000  6 Cu 2.21-2.36, 1 Be 2.24
Cu 0.1905 0.1905 0.5000  6 Be 2.21-2.36, 1 Cu 2.40
Cu 0.3095 0.6905 0.0000  6 Be 2.21-2.36, 1 Cu 2.40
Cu 0.6905 0.3095 0.0000  6 Be 2.21-2.36, 1 Cu 2.40
Cu 0.8095 0.8095 0.5000  6 Be 2.21-2.36, 1 Cu 2.40

Summary:
Final energy (hartree per atom): -0.1313
Energy relative to the elements (eV/atom): 0.339